{"formula": "CrFe2Au", "functional": "PBE", "state": "optimized geometry", "formation_enthalpy_0k_mev_per_atom": 260, "lattice_angstrom": [[8.789, 0.000, 0.000], [0.000, 2.814, 0.000], [-0.976, 0.000, 4.453]], "species": ["Cr", "Cr", "Fe", "Fe", "Fe", "Fe", "Au", "Au"], "fractional_positions": [[0.000, 0.000, 0.000], [0.500, 0.500, 0.000], [0.245, 0.500, 0.225], [0.255, 0.000, 0.775], [0.745, 0.000, 0.225], [0.755, 0.500, 0.775], [0.000, 0.500, 0.500], [0.500, 0.000, 0.500]]}